(1)
TbSm2Pb3: relaxed, PBE.

Properties
The space group is Cmmm (65). The value obtained for the formation energy is -479 meV per atom.

Cell lengths 4.5530, 4.9859, 8.0516 Å; angles 108.04, 90.00, 90.00 degrees
With the nearest neighbours (Å) after each atom.
Fractional coordinates of all 6 atoms:
Sm 0.0000 0.3344 0.6687  8 Pb 3.38-3.45, 2 Tb 3.56, 2 Sm 3.59
Pb 0.5000 0.5000 0.0000  4 Tb 3.38, 4 Sm 3.41, 4 Pb 3.55
Pb 0.5000 0.1655 0.3309  6 Sm 3.38-3.45, 2 Tb 3.41, 4 Pb 3.55-3.59
Tb 0.0000 0.0000 0.0000  8 Pb 3.38-3.41, 4 Sm 3.56
Pb 0.5000 0.8345 0.6691  6 Sm 3.38-3.45, 2 Tb 3.41, 4 Pb 3.55-3.59
Sm 0.0000 0.6656 0.3313  8 Pb 3.38-3.45, 2 Tb 3.56, 2 Sm 3.59

(2)
Tb2SmPb: relaxed, PBE.

Properties
The space group is P4/mmm (123). The value obtained for the formation energy is -206 meV per atom.

Cell lengths 3.6317, 3.6317, 9.4359 Å; angles 90.00, 90.00, 90.00 degrees
With the nearest neighbours (Å) after each atom.
Fractional coordinates of all 4 atoms:
Sm 0.5000 0.5000 0.5000  8 Tb 3.61, 4 Sm 3.63
Pb 0.5000 0.5000 0.0000  8 Tb 3.37, 4 Pb 3.63
Tb 0.0000 0.0000 0.7683  4 Pb 3.37, 4 Sm 3.61, 4 Tb 3.63
Tb 0.0000 0.0000 0.2317  4 Pb 3.37, 4 Sm 3.61, 4 Tb 3.63

(3)
TbSm2Pb: relaxed, PBE.

Properties
The space group is R3m (160). The value obtained for the formation energy is -154 meV per atom.

Cell lengths 3.6464, 3.6464, 11.3547 Å; angles 80.76, 80.76, 60.00 degrees
With the nearest neighbours (Å) after each atom.
Fractional coordinates of all 4 atoms:
Sm 0.0806 0.0806 0.7583  3 Pb 3.43, 3 Tb 3.57, 6 Sm 3.65
Sm 0.2530 0.2530 0.2410  3 Pb 3.41, 3 Tb 3.58, 6 Sm 3.65
Tb 0.5000 0.5000 0.5000  6 Sm 3.57-3.58, 6 Tb 3.65
Pb 0.6664 0.6664 0.0007  6 Sm 3.41-3.43, 6 Pb 3.65